# 1
Density functional theory data (PBE) for an optimized crystal structure of SrCa2Pd2.

Computed properties:
M_tot in μB per cell: 0.00
Offset from the most stable computed form in kcal/mol of atoms: 1.26
Formation enthalpy at 0 K in eV/atom: -0.498

Structure (POSCAR):
```
SrCa2Pd2
1.0
-3.083 3.092 1.805
-3.205 -3.445 0.427
-1.005 -1.444 6.940
Sr Ca Pd
1 2 2
direct
0.000 0.000 0.000
0.750 0.250 0.500
0.250 0.750 0.500
0.394 0.394 0.212
0.606 0.606 0.788
```

=====

# 2
Density functional theory data (PBE) for an optimized crystal structure of SrCa3Pd4.

Computed properties:
M_tot in μB per cell: 0.00
Formation enthalpy at 0 K in eV/atom: -0.628

Structure (POSCAR):
```
SrCa3Pd4
1.0
-2.006 -2.293 4.052
-2.149 -5.447 -4.147
8.800 -4.745 1.671
Sr Ca Pd
2 6 8
direct
0.000 0.500 0.000
0.000 0.500 0.500
0.000 0.000 0.000
0.000 0.000 0.500
0.501 0.000 0.750
0.499 0.000 0.250
0.501 0.500 0.750
0.499 0.500 0.250
0.500 0.764 0.000
0.500 0.764 0.500
0.500 0.236 0.000
0.500 0.236 0.500
0.002 0.764 0.750
0.998 0.764 0.250
0.998 0.236 0.250
0.002 0.236 0.750
```